[1]
DFT (PBE) results for a relaxed structure of Na2Sr4Bi3F2.

a = 5.182 Å, b = 5.182 Å, c = 13.832 Å
α = 100.80°, β = 100.80°, γ = 90.00°
Positions (direct):
Na  0.292  0.292  0.584
Na  0.708  0.708  0.416
Sr  0.414  0.914  0.827
Sr  0.914  0.414  0.827
Sr  0.086  0.586  0.173
Sr  0.586  0.086  0.173
Bi  0.000  0.000  0.000
Bi  0.172  0.172  0.344
Bi  0.828  0.828  0.656
F  0.412  0.412  0.824
F  0.588  0.588  0.176

---

[2]
DFT (PBE) results for a relaxed structure of FeH2Pd.

a = 4.113 Å, b = 4.113 Å, c = 4.991 Å
α = 65.67°, β = 65.67°, γ = 90.00°
Site moments in Bohr magnetons follow the coordinates.
Positions (direct):
H  0.602  0.125  0.250  -0.02
H  0.148  0.625  0.250  -0.02
H  0.375  0.398  0.750  -0.02
H  0.875  0.852  0.750  -0.02
Fe  0.500  0.500  0.000  2.54
Fe  0.250  0.750  0.500  2.54
Pd  0.000  0.000  0.000  0.09
Pd  0.750  0.250  0.500  0.09

Values from the calculation:
The calculation puts the energy above the most stable polymorph in this dataset at 15 meV per atom.

---

N(E_F) list, top to bottom, in states/eV per cell: 6.77, 4.56
E list, top to bottom, in eV per atom: -3.70, -5.04